No. 1
The following is a PBE-GGA calculation of crystalline Cs2PmPa3O12 at its relaxed geometry, from the Alexandria database.

CIF file:
```
data_Cs2PmPa3O12
_chemical_formula_sum 'Cs6 Pm3 Pa9 O36'
_symmetry_space_group_name_H-M 'R -3 m'
_symmetry_Int_Tables_number 166
_symmetry_space_group_name_Hall '-R 3 2"'
_cell_length_a 8.2819
_cell_length_b 8.2819
_cell_length_c 19.7301
_cell_angle_alpha 90.00
_cell_angle_beta 90.00
_cell_angle_gamma 120.00
loop_
_atom_site_label
_atom_site_type_symbol
_atom_site_fract_x
_atom_site_fract_y
_atom_site_fract_z
_atom_site_occupancy
Cs1 Cs 0.0000 0.0000 0.1326 1
Pm1 Pm 0.0000 0.0000 0.5000 1
Pa1 Pa 0.0000 0.5000 0.0000 1
O1 O 0.0618 0.5309 0.1013 1
O2 O 0.0854 0.5427 0.3521 1
```

Electronic total energy, eV for the cell shown: -429.1
ΔE_f (raw), meV/atom: -2700
M_tot, μB/cell: 11.5

---

No. 2
The following is a PBE-GGA calculation of crystalline CsPa2PtO8 at its relaxed geometry, from the Alexandria database.

CIF file:
```
data_CsPa2PtO8
_chemical_formula_sum 'Cs1 Pa2 Pt1 O8'
_symmetry_space_group_name_H-M 'P -3 m 1'
_symmetry_Int_Tables_number 164
_symmetry_space_group_name_Hall '-P 3 2"'
_cell_length_a 5.4942
_cell_length_b 5.4942
_cell_length_c 8.0925
_cell_angle_alpha 90.00
_cell_angle_beta 90.00
_cell_angle_gamma 120.00
loop_
_atom_site_label
_atom_site_type_symbol
_atom_site_fract_x
_atom_site_fract_y
_atom_site_fract_z
_atom_site_occupancy
Cs1 Cs 0.0000 0.0000 0.0000 1
Pa1 Pa 0.3333 0.6667 0.3932 1
Pt1 Pt 0.0000 0.0000 0.5000 1
O1 O 0.1799 0.3599 0.6223 1
O2 O 0.3333 0.6667 0.1617 1
```

Electronic total energy, eV for the cell shown: -91.6
ΔE_f (raw), meV/atom: -2169
M_tot, μB/cell: 0.0

---

No. 3
The following is a PBE-GGA calculation of crystalline Cs2Pa3PtO12 at its relaxed geometry, from the Alexandria database.

CIF file:
```
data_Cs2Pa3PtO12
_chemical_formula_sum 'Cs6 Pa9 Pt3 O36'
_symmetry_space_group_name_H-M 'R -3 m'
_symmetry_Int_Tables_number 166
_symmetry_space_group_name_Hall '-R 3 2"'
_cell_length_a 8.0315
_cell_length_b 8.0315
_cell_length_c 19.1130
_cell_angle_alpha 90.00
_cell_angle_beta 90.00
_cell_angle_gamma 120.00
loop_
_atom_site_label
_atom_site_type_symbol
_atom_site_fract_x
_atom_site_fract_y
_atom_site_fract_z
_atom_site_occupancy
Cs1 Cs 0.0000 0.0000 0.1234 1
Pa1 Pa 0.0000 0.5000 0.0000 1
Pt1 Pt 0.0000 0.0000 0.5000 1
O1 O 0.0781 0.5390 0.3597 1
O2 O 0.1018 0.5509 0.1092 1
```

Electronic total energy, eV for the cell shown: -417.8
ΔE_f (raw), meV/atom: -2419
M_tot, μB/cell: 9.5